1.
First-principles (PBE-GGA) data for AcCd4Hg8 after structural relaxation, as listed in Alexandria via LeMat-Bulk.

Calculated values
symmetry: I4/mmm (139)
E: -11.61 eV per cell

Lattice parameters (Å, degrees): 6.318 7.849 7.849 80.68 66.27 66.27
Positions (direct):
Ac (0.000, 0.000, 0.000)
Cd (0.000, 0.000, 0.500)
Cd (0.500, 0.000, 0.500)
Cd (0.000, 0.500, 0.000)
Cd (0.500, 0.500, 0.000)
Hg (0.000, 0.348, 0.652)
Hg (0.000, 0.652, 0.348)
Hg (0.348, 0.652, 0.652)
Hg (0.652, 0.348, 0.348)
Hg (0.500, 0.786, 0.214)
Hg (0.500, 0.214, 0.786)
Hg (0.286, 0.214, 0.214)
Hg (0.714, 0.786, 0.786)

***

2.
First-principles (PBE-GGA) data for AcCd2Hg3 after structural relaxation, as listed in Alexandria via LeMat-Bulk.

Calculated values
symmetry: P6_3/mmc (194)
E: -16.93 eV per cell
polymorph energy (0 for the lowest one): 0.0000 eV per atom

Lattice parameters (Å, degrees): 5.094 5.094 14.255 90.00 90.00 120.00
Positions (direct):
Ac (0.000, 0.000, 0.250)
Ac (0.000, 0.000, 0.750)
Cd (0.667, 0.333, 0.408)
Cd (0.333, 0.667, 0.592)
Cd (0.333, 0.667, 0.908)
Cd (0.667, 0.333, 0.092)
Hg (0.000, 0.000, 0.500)
Hg (0.000, 0.000, 0.000)
Hg (0.667, 0.333, 0.633)
Hg (0.333, 0.667, 0.133)
Hg (0.667, 0.333, 0.867)
Hg (0.333, 0.667, 0.367)

***

3.
First-principles (PBE-GGA) data for AcCd2Hg8 after structural relaxation, as listed in Alexandria via LeMat-Bulk.

Calculated values
symmetry: C2/m (12)
E: -9.47 eV per cell

Lattice parameters (Å, degrees): 5.215 8.611 8.605 59.97 78.60 66.73
Positions (direct):
Ac (0.500, 0.000, 0.000)
Cd (0.000, 0.320, 0.361)
Cd (0.000, 0.680, 0.639)
Hg (0.859, 0.082, 0.245)
Hg (0.859, 0.327, 0.755)
Hg (0.315, 0.408, 0.000)
Hg (0.500, 0.773, 0.453)
Hg (0.500, 0.227, 0.547)
Hg (0.685, 0.592, 0.000)
Hg (0.141, 0.673, 0.245)
Hg (0.141, 0.918, 0.755)

***

4.
First-principles (PBE-GGA) data for AcCd2Hg3 after structural relaxation, as listed in Alexandria via LeMat-Bulk.

Calculated values
symmetry: R-3m (166)
E: -16.47 eV per cell
polymorph energy (0 for the lowest one): 0.0377 eV per atom

Lattice parameters (Å, degrees): 6.759 6.759 9.235 68.53 68.53 60.00
Positions (direct):
Ac (0.794, 0.794, 0.619)
Ac (0.206, 0.206, 0.381)
Cd (0.000, 0.000, 0.000)
Cd (0.000, 0.500, 0.000)
Cd (0.500, 0.500, 0.000)
Cd (0.500, 0.000, 0.000)
Hg (0.251, 0.728, 0.294)
Hg (0.728, 0.251, 0.294)
Hg (0.728, 0.728, 0.294)
Hg (0.272, 0.749, 0.706)
Hg (0.749, 0.272, 0.706)
Hg (0.272, 0.272, 0.706)

***

5.
First-principles (PBE-GGA) data for Ac2Cd3Hg5 after structural relaxation, as listed in Alexandria via LeMat-Bulk.

Calculated values
symmetry: Ibam (72)
E: -30.57 eV per cell

Lattice parameters (Å, degrees): 6.663 9.710 9.710 78.46 69.93 69.93
Positions (direct):
Ac (0.127, 0.608, 0.138)
Ac (0.627, 0.138, 0.608)
Ac (0.873, 0.392, 0.862)
Ac (0.373, 0.862, 0.392)
Cd (0.365, 0.513, 0.757)
Cd (0.865, 0.757, 0.513)
Cd (0.635, 0.487, 0.243)
Cd (0.135, 0.243, 0.487)
Cd (0.250, 0.000, 0.000)
Cd (0.750, 0.000, 0.000)
Hg (0.389, 0.265, 0.958)
Hg (0.889, 0.958, 0.265)
Hg (0.611, 0.735, 0.042)
Hg (0.111, 0.042, 0.735)
Hg (0.481, 0.769, 0.769)
Hg (0.519, 0.231, 0.231)
Hg (0.750, 0.500, 0.500)
Hg (0.250, 0.500, 0.500)
Hg (0.019, 0.231, 0.231)
Hg (0.981, 0.769, 0.769)

***

6.
First-principles (PBE-GGA) data for Ac2Cd5Hg3 after structural relaxation, as listed in Alexandria via LeMat-Bulk.

Calculated values
symmetry: Ibam (72)
E: -33.20 eV per cell

Lattice parameters (Å, degrees): 6.594 9.705 9.705 79.94 70.14 70.14
Positions (direct):
Ac (0.123, 0.637, 0.117)
Ac (0.623, 0.117, 0.637)
Ac (0.877, 0.363, 0.883)
Ac (0.377, 0.883, 0.363)
Cd (0.367, 0.261, 0.006)
Cd (0.867, 0.006, 0.261)
Cd (0.633, 0.739, 0.994)
Cd (0.133, 0.994, 0.739)
Cd (0.514, 0.736, 0.736)
Cd (0.486, 0.264, 0.264)
Cd (0.750, 0.500, 0.500)
Cd (0.250, 0.500, 0.500)
Cd (0.986, 0.264, 0.264)
Cd (0.014, 0.736, 0.736)
Hg (0.381, 0.470, 0.768)
Hg (0.881, 0.768, 0.470)
Hg (0.619, 0.530, 0.232)
Hg (0.119, 0.232, 0.530)
Hg (0.250, 0.000, 0.000)
Hg (0.750, 0.000, 0.000)

***

7.
First-principles (PBE-GGA) data for AcCdHg after structural relaxation, as listed in Alexandria via LeMat-Bulk.

Calculated values
symmetry: P-6m2 (187)
E: -6.55 eV per cell
polymorph energy (0 for the lowest one): 0.0007 eV per atom

Lattice parameters (Å, degrees): 3.864 5.150 5.150 120.00 90.00 90.00
Positions (direct):
Ac (0.667, 0.667, 0.333)
Hg (0.167, 0.333, 0.667)
Cd (0.167, 0.000, 0.000)

***

8.
First-principles (PBE-GGA) data for Ac4Cd2Hg after structural relaxation, as listed in Alexandria via LeMat-Bulk.

Calculated values
symmetry: I4/mmm (139)
E: -20.16 eV per cell

Lattice parameters (Å, degrees): 6.981 6.981 6.981 109.58 109.42 109.42
Positions (direct):
Ac (0.500, 0.000, 0.000)
Ac (0.500, 0.500, 0.500)
Ac (0.000, 0.000, 0.500)
Ac (0.000, 0.500, 0.000)
Hg (0.000, 0.000, 0.000)
Cd (0.500, 0.500, 0.000)
Cd (0.500, 0.000, 0.500)

***

9.
First-principles (PBE-GGA) data for AcCd4Hg after structural relaxation, as listed in Alexandria via LeMat-Bulk.

Calculated values
symmetry: Cmcm (63)
E: -18.87 eV per cell
polymorph energy (0 for the lowest one): 0.0000 eV per atom

Lattice parameters (Å, degrees): 4.768 7.520 9.175 90.00 105.06 90.00
Positions (direct):
Ac (0.127, 0.250, 0.253)
Ac (0.873, 0.750, 0.747)
Cd (0.500, 0.500, 0.000)
Cd (0.500, 0.000, 0.000)
Cd (0.667, 0.941, 0.334)
Cd (0.333, 0.059, 0.666)
Cd (0.333, 0.441, 0.666)
Cd (0.667, 0.559, 0.334)
Cd (0.067, 0.750, 0.133)
Cd (0.933, 0.250, 0.867)
Hg (0.234, 0.750, 0.468)
Hg (0.766, 0.250, 0.532)

***

10.
First-principles (PBE-GGA) data for Ac3Cd3Hg after structural relaxation, as listed in Alexandria via LeMat-Bulk.

Calculated values
symmetry: Imm2 (44)
E: -17.63 eV per cell

Lattice parameters (Å, degrees): 5.135 3.982 11.521 99.95 102.88 90.00
Positions (direct):
Ac (0.307, 0.807, 0.615)
Ac (0.695, 0.195, 0.390)
Ac (0.998, 0.998, 0.996)
Cd (0.139, 0.639, 0.278)
Cd (0.859, 0.359, 0.718)
Cd (0.567, 0.567, 0.134)
Hg (0.435, 0.435, 0.869)

***

11.
First-principles (PBE-GGA) data for Ac4Cd2Hg3 after structural relaxation, as listed in Alexandria via LeMat-Bulk.

Calculated values
symmetry: C2/m (12)
E: -22.27 eV per cell

Lattice parameters (Å, degrees): 5.347 6.468 9.516 83.14 90.02 65.60
Positions (direct):
Ac (0.645, 0.710, 0.919)
Ac (0.094, 0.812, 0.346)
Ac (0.906, 0.188, 0.654)
Ac (0.355, 0.290, 0.081)
Cd (0.226, 0.548, 0.712)
Cd (0.774, 0.452, 0.288)
Hg (0.379, 0.243, 0.435)
Hg (0.000, 0.000, 0.000)
Hg (0.621, 0.757, 0.565)

***

12.
First-principles (PBE-GGA) data for AcCdHg after structural relaxation, as listed in Alexandria via LeMat-Bulk.

Calculated values
symmetry: F-43m (216)
E: -6.19 eV per cell
polymorph energy (0 for the lowest one): 0.1209 eV per atom

Lattice parameters (Å, degrees): 5.209 5.209 5.209 60.00 60.00 60.00
Positions (direct):
Ac (0.500, 0.500, 0.500)
Hg (0.250, 0.250, 0.250)
Cd (0.000, 0.000, 0.000)